1.
LiNiB, relaxed, DFT PBE; size of the total moment = 0.000 μB per atom; V = 10.9 A^3/atom; energy relative to the elements = -0.2858 eV per atom
1.0
3.899 0.000 0.000
0.822 3.822 0.000
0.395 0.796 4.377
Li Ni B
2 2 2
Cartesian
1.346 1.309 2.122
3.771 3.309 2.255
1.831 3.062 0.067
3.286 1.556 4.310
1.342 2.045 4.297
3.774 2.573 0.080

=====

2.
LiNiB, relaxed, DFT PBE; size of the total moment = 0.000 μB per atom; V = 11.1 A^3/atom; energy relative to the elements = -0.0066 eV per atom
1.0
-1.376 1.376 4.412
1.376 -1.376 4.412
1.376 1.376 -4.412
Li Ni B
1 1 1
Cartesian
0.000 0.000 0.000
0.000 0.000 2.430
0.000 0.000 6.493